[1]
The following is a PBE calculation of a relaxed structure of Pr2TmGa4Pt3, from Alexandria.

extended XYZ file:
```
10
Lattice="4.268 0.000 0.000 0.000 4.268 0.000 0.000 0.000 11.534" Properties=species:S:1:pos:R:3 pbc="T T T"
Pr 0.000 2.134 2.642
Pr 2.134 0.000 8.892
Tm 0.000 0.000 5.767
Ga 0.000 0.000 0.000
Ga 0.000 2.134 7.641
Ga 2.134 0.000 3.893
Ga 2.134 2.134 0.000
Pt 0.000 2.134 10.115
Pt 2.134 0.000 1.419
Pt 2.134 2.134 5.767
```

Computed properties:
density of states at the Fermi level: 8.125 states/eV/cell
energy of formation from the pure elements: -0.89 eV/atom

[2]
The following is a PBE calculation of a relaxed structure of CePm2Zn2Ga2, from Alexandria.

extended XYZ file:
```
7
Lattice="2.254 1.301 9.407 -2.254 1.301 9.407 0.000 -2.602 9.407" Properties=species:S:1:pos:R:3 pbc="T T T"
Ce 0.000 0.000 0.000
Pm 0.000 0.000 3.554
Pm 0.000 0.000 24.668
Zn 0.000 0.000 11.176
Zn 0.000 0.000 17.046
Ga 0.000 0.000 7.526
Ga 0.000 0.000 20.696
```

Computed properties:
density of states at the Fermi level: 7.874 states/eV/cell
energy of formation from the pure elements: -0.37 eV/atom

[3]
The following is a PBE calculation of a relaxed structure of Sc5PaAl3, from Alexandria.

extended XYZ file:
```
18
Lattice="8.546 0.000 0.000 -4.273 7.401 0.000 0.000 0.000 6.122" Properties=species:S:1:pos:R:3 pbc="T T T"
Sc -1.413 2.448 1.530
Sc -2.860 4.954 4.591
Sc 2.826 0.000 1.530
Sc 1.413 2.448 4.591
Sc 0.000 4.934 0.000
Sc 0.000 4.934 3.061
Sc 4.273 2.467 0.000
Sc 4.273 2.467 3.061
Sc 5.720 0.000 4.591
Sc 2.860 4.954 1.530
Pa 0.000 0.000 0.000
Pa 0.000 0.000 3.061
Al -1.448 2.509 4.591
Al -2.825 4.892 1.530
Al 2.897 0.000 4.591
Al 1.448 2.509 1.530
Al 5.649 0.000 1.530
Al 2.825 4.892 4.591
```

Computed properties:
density of states at the Fermi level: 20.891 states/eV/cell
energy of formation from the pure elements: -0.30 eV/atom

[4]
The following is a PBE calculation of a relaxed structure of AcAlAg2Sn, from Alexandria.

extended XYZ file:
```
5
Lattice="-2.271 2.330 5.766 2.271 -2.330 5.766 2.271 2.330 -5.766" Properties=species:S:1:pos:R:3 pbc="T T T"
Ac 0.000 0.000 0.000
Al 0.000 0.000 4.489
Ag 0.000 0.000 7.041
Ag 0.000 2.330 3.114
Sn 2.271 0.000 2.858
```

Computed properties:
density of states at the Fermi level: 2.904 states/eV/cell
energy of formation from the pure elements: -0.37 eV/atom

[5]
The following is a PBE calculation of a relaxed structure of Sc3NiRu, from Alexandria.

extended XYZ file:
```
5
Lattice="4.909 0.000 0.000 0.000 4.909 0.000 0.000 0.000 4.909" Properties=species:S:1:pos:R:3 pbc="T T T"
Sc 0.000 0.000 2.454
Sc 0.000 2.454 0.000
Sc 2.454 0.000 0.000
Ni 2.454 2.454 2.454
Ru 0.000 0.000 0.000
```

Computed properties:
density of states at the Fermi level: 4.316 states/eV/cell
energy of formation from the pure elements: 0.20 eV/atom

[6]
The following is a PBE calculation of a relaxed structure of AlCoCl2, from Alexandria.

extended XYZ file:
```
4
Lattice="0.000 3.550 3.560 3.065 0.000 3.560 3.065 3.550 0.000" Properties=species:S:1:pos:R:3 pbc="T T T"
Al 0.000 0.000 0.000
Co 3.065 3.550 3.560
Cl 3.065 1.775 1.780
Cl 0.000 1.775 1.780
```

Computed properties:
uncorrected formation energy: 0.108 eV per atom
density of states at the Fermi level: 4.769 states/eV/cell

[7]
The following is a PBE calculation of a relaxed structure of ZrSc2Tl, from Alexandria.

extended XYZ file:
```
4
Lattice="3.307 0.000 0.000 0.000 3.307 0.000 0.000 0.000 8.717" Properties=species:S:1:pos:R:3 pbc="T T T"
Zr 0.000 0.000 0.000
Sc 0.000 0.000 4.511
Sc 1.654 1.654 2.137
Tl 1.654 1.654 6.565
```

Computed properties:
density of states at the Fermi level: 4.192 states/eV/cell
energy of formation from the pure elements: -0.07 eV/atom

[8]
The following is a PBE calculation of a relaxed structure of InMoW2, from Alexandria.

extended XYZ file:
```
4
Lattice="-2.000 2.000 4.256 2.000 -2.000 4.256 2.000 2.000 -4.256" Properties=species:S:1:pos:R:3 pbc="T T T"
In 0.000 0.000 0.000
Mo 0.000 0.000 4.256
W 2.000 0.000 2.128
W 0.000 2.000 2.128
```

Computed properties:
density of states at the Fermi level: 2.480 states/eV/cell
energy of formation from the pure elements: 0.49 eV/atom

[9]
The following is a PBE calculation of a relaxed structure of Ca2LaGa, from Alexandria.

extended XYZ file:
```
8
Lattice="2.714 -4.733 0.000 2.714 4.733 0.000 0.000 0.000 9.974" Properties=species:S:1:pos:R:3 pbc="T T T"
Ca 2.714 3.161 5.667
Ca 2.714 3.161 9.295
Ca 2.714 -3.161 0.679
Ca 2.714 -3.161 4.308
La 2.714 0.013 7.481
La 2.714 -0.013 2.494
Ga 2.714 3.134 2.494
Ga 2.714 -3.134 7.481
```

Computed properties:
density of states at the Fermi level: 6.954 states/eV/cell
energy of formation from the pure elements: -0.22 eV/atom

[10]
The following is a PBE calculation of a relaxed structure of Dy4Er3Sc3, from Alexandria.

extended XYZ file:
```
10
Lattice="3.615 0.000 0.000 0.000 6.333 6.382 0.000 -6.333 6.382" Properties=species:S:1:pos:R:3 pbc="T T T"
Dy 0.000 0.000 0.000
Dy 0.000 0.000 3.264
Dy 0.000 -1.664 7.908
Dy 0.000 1.664 7.908
Er 0.000 -3.153 4.779
Er 0.000 3.153 4.779
Er 1.807 0.000 10.129
Sc 1.807 -4.197 7.986
Sc 1.807 0.000 5.807
Sc 1.807 4.197 7.986
```

Computed properties:
density of states at the Fermi level: 7.408 states/eV/cell
energy of formation from the pure elements: 0.09 eV/atom

[11]
The following is a PBE calculation of a relaxed structure of Sb2TeSe2, from Alexandria.

extended XYZ file:
```
5
Lattice="2.076 1.199 10.370 -2.076 1.199 10.370 0.000 -2.397 10.370" Properties=species:S:1:pos:R:3 pbc="T T T"
Sb 0.000 0.000 3.113
Sb 0.000 0.000 27.996
Te 0.000 0.000 15.555
Se 0.000 0.000 8.771
Se 0.000 0.000 22.338
```

Computed properties:
uncorrected formation energy: -0.191 eV per atom

[12]
The following is a PBE calculation of a relaxed structure of Pu5HfS6, from Alexandria.

extended XYZ file:
```
12
Lattice="3.365 -5.848 0.000 3.365 5.848 0.000 -2.257 0.000 6.343" Properties=species:S:1:pos:R:3 pbc="T T T"
Pu 0.000 0.000 0.000
Pu 2.237 3.910 3.171
Pu 3.365 1.981 0.000
Pu 3.365 -1.981 0.000
Pu 2.237 -3.910 3.171
Hf 2.237 0.000 3.171
S 1.162 1.896 1.650
S 0.081 0.000 4.719
S 1.162 -1.896 1.650
S 3.311 1.896 4.693
S 4.393 0.000 1.624
S 3.311 -1.896 4.693
```

Computed properties:
uncorrected formation energy: -1.665 eV per atom
density of states at the Fermi level: 43.248 states/eV/cell

Quick rundown of size of the total moment, same order as above: 0.0 0.9 0.0 0.0 0.0 1.5 0.3 0.0 0.0 0.0 0.0 16.4 μB/f.u.
Quick rundown of VASP energy, same order as above: -5.320 -3.800 -6.123 -3.877 -6.605 -3.528 -5.967 -9.380 -3.213 -5.018 -3.862 -10.530 eV/atom